# Ba3O2 PBE optimized geometry
# Formation energy (no corrections), meV/atom: -1891
data_Ba3O2
_chemical_formula_sum 'Ba12 O8'
_space_group_name_H-M_alt 'C 1 2/m 1'
_space_group_IT_number 12
_cell_length_a 15.757
_cell_length_b 3.996
_cell_length_c 11.380
_cell_angle_alpha 90.00
_cell_angle_beta 98.12
_cell_angle_gamma 90.00
loop_
_space_group_symop_operation_xyz
'x,y,z'
'-x,-y,-z'
'-x,y,-z'
'x,-y,z'
'x+1/2,y+1/2,z'
'-x+1/2,-y+1/2,-z'
'-x+1/2,y+1/2,-z'
'x+1/2,-y+1/2,z'
loop_
_atom_site_label
_atom_site_type_symbol
_atom_site_fract_x
_atom_site_fract_y
_atom_site_fract_z
Ba1 Ba 0.085 0.000 0.291
Ba2 Ba 0.123 0.500 0.901
Ba3 Ba 0.177 0.000 0.601
O1 O 0.076 0.000 0.768
O2 O 0.155 0.500 0.439

# LiAuC2F PBE optimized geometry
# Formation energy (no corrections), meV/atom: 2017
data_LiAuC2F
_chemical_formula_sum 'Li1 Au1 C2 F1'
_space_group_name_H-M_alt 'P 4/m m m'
_space_group_IT_number 123
_space_group_name_Hall '-P 4 2'
_cell_length_a 3.581
_cell_length_b 3.581
_cell_length_c 4.825
_cell_angle_alpha 90.00
_cell_angle_beta 90.00
_cell_angle_gamma 90.00
loop_
_atom_site_label
_atom_site_type_symbol
_atom_site_fract_x
_atom_site_fract_y
_atom_site_fract_z
Li1 Li 0.000 0.000 0.000
Au1 Au 0.000 0.000 0.500
C1 C 0.000 0.500 0.000
F1 F 0.500 0.500 0.500

# RbTcAgI6 PBE optimized geometry
# Formation energy (no corrections), meV/atom: -395
data_RbTcAgI6
_chemical_formula_sum 'Rb2 Tc2 Ag2 I12'
_space_group_name_H-M_alt 'P -3 1 c'
_space_group_IT_number 163
_space_group_name_Hall '-P 3 2c'
_cell_length_a 7.6586
_cell_length_b 7.6586
_cell_length_c 15.9434
_cell_angle_alpha 90.00
_cell_angle_beta 90.00
_cell_angle_gamma 120.00
loop_
_atom_site_label
_atom_site_type_symbol
_atom_site_fract_x
_atom_site_fract_y
_atom_site_fract_z
Rb1 Rb 0.0000 0.0000 0.0000
Tc1 Tc 0.3333 0.6667 0.2500
Ag1 Ag 0.3333 0.6667 0.7500
I1 I 0.0290 0.3880 0.1496

# KTlSn PBE optimized geometry
# Raw total energy, eV/atom: -2.654
data_KTlSn
_chemical_formula_sum 'K4 Tl4 Sn4'
_space_group_name_H-M_alt 'I m m m'
_space_group_IT_number 71
_space_group_name_Hall '-I 2 2'
_cell_length_a 4.429
_cell_length_b 7.570
_cell_length_c 13.354
_cell_angle_alpha 90.00
_cell_angle_beta 90.00
_cell_angle_gamma 90.00
loop_
_atom_site_label
_atom_site_type_symbol
_atom_site_fract_x
_atom_site_fract_y
_atom_site_fract_z
K1 K 0.000 0.000 0.176
Tl1 Tl 0.000 0.240 0.500
Sn1 Sn 0.000 0.500 0.109

# Al2Cu2Ag PBE optimized geometry
# Raw total energy, eV/atom: -3.615
data_Al2Cu2Ag
_chemical_formula_sum 'Al4 Cu4 Ag2'
_space_group_name_H-M_alt 'I 4/m m m'
_space_group_IT_number 139
_space_group_name_Hall '-I 4 2'
_cell_length_a 3.783
_cell_length_b 3.783
_cell_length_c 11.199
_cell_angle_alpha 90.00
_cell_angle_beta 90.00
_cell_angle_gamma 90.00
loop_
_atom_site_label
_atom_site_type_symbol
_atom_site_fract_x
_atom_site_fract_y
_atom_site_fract_z
Al1 Al 0.000 0.500 0.250
Cu1 Cu 0.000 0.000 0.106
Ag1 Ag 0.000 0.000 0.500

# HgOsO2F PBE optimized geometry
# Formation energy (no corrections), meV/atom: 1043
data_HgOsO2F
_chemical_formula_sum 'Hg1 Os1 O2 F1'
_space_group_name_H-M_alt 'P 4/m m m'
_space_group_IT_number 123
_space_group_name_Hall '-P 4 2'
_cell_length_a 4.240
_cell_length_b 4.240
_cell_length_c 4.415
_cell_angle_alpha 90.00
_cell_angle_beta 90.00
_cell_angle_gamma 90.00
loop_
_atom_site_label
_atom_site_type_symbol
_atom_site_fract_x
_atom_site_fract_y
_atom_site_fract_z
Hg1 Hg 0.000 0.000 0.000
Os1 Os 0.500 0.500 0.500
O1 O 0.000 0.500 0.000
F1 F 0.000 0.000 0.500

# DyHoZnOs PBE optimized geometry
# Raw total energy, eV/atom: -5.710
data_DyHoZnOs
_chemical_formula_sum 'Dy4 Ho4 Zn4 Os4'
_space_group_name_H-M_alt 'F -4 3 m'
_space_group_IT_number 216
_space_group_name_Hall 'F -4 2 3'
_cell_length_a 6.924
_cell_length_b 6.924
_cell_length_c 6.924
_cell_angle_alpha 90.00
_cell_angle_beta 90.00
_cell_angle_gamma 90.00
loop_
_atom_site_label
_atom_site_type_symbol
_atom_site_fract_x
_atom_site_fract_y
_atom_site_fract_z
Dy1 Dy 0.000 0.000 0.000
Ho1 Ho 0.000 0.000 0.500
Zn1 Zn 0.250 0.250 0.750
Os1 Os 0.250 0.250 0.250

# Dy2GeBr PBE optimized geometry
# Formation energy (no corrections), meV/atom: -1031
data_Dy2GeBr
_chemical_formula_sum 'Dy6 Ge3 Br3'
_space_group_name_H-M_alt 'R 3 m'
_space_group_IT_number 160
_space_group_name_Hall 'R 3 -2"'
_cell_length_a 4.1214
_cell_length_b 4.1214
_cell_length_c 22.0332
_cell_angle_alpha 90.00
_cell_angle_beta 90.00
_cell_angle_gamma 120.00
loop_
_atom_site_label
_atom_site_type_symbol
_atom_site_fract_x
_atom_site_fract_y
_atom_site_fract_z
Dy1 Dy 0.0000 0.0000 0.0000
Dy2 Dy 0.0000 0.0000 0.1978
Ge1 Ge 0.0000 0.0000 0.6003
Br1 Br 0.0000 0.0000 0.4294

# Cs3NaTh3S8 PBE optimized geometry
# Formation energy (no corrections), meV/atom: -1708
data_Cs3NaTh3S8
_chemical_formula_sum 'Cs9 Na3 Th9 S24'
_space_group_name_H-M_alt 'R -3 m'
_space_group_IT_number 166
_space_group_name_Hall '-R 3 2"'
_cell_length_a 8.4667
_cell_length_b 8.4667
_cell_length_c 24.2986
_cell_angle_alpha 90.00
_cell_angle_beta 90.00
_cell_angle_gamma 120.00
loop_
_atom_site_label
_atom_site_type_symbol
_atom_site_fract_x
_atom_site_fract_y
_atom_site_fract_z
Cs1 Cs 0.0000 0.5000 0.0000
Na1 Na 0.0000 0.0000 0.5000
Th1 Th 0.0000 0.5000 0.5000
S1 S 0.0000 0.0000 0.2292
S2 S 0.0220 0.5110 0.7738

# AcTi2Ag2O7 PBE optimized geometry
# Formation energy (no corrections), meV/atom: -2192
data_AcTi2Ag2O7
_chemical_formula_sum 'Ac2 Ti4 Ag4 O14'
_space_group_name_H-M_alt 'C 1 2/m 1'
_space_group_IT_number 12
_cell_length_a 5.521
_cell_length_b 5.521
_cell_length_c 10.498
_cell_angle_alpha 90.00
_cell_angle_beta 104.25
_cell_angle_gamma 90.00
loop_
_space_group_symop_operation_xyz
'x,y,z'
'-x,-y,-z'
'-x,y,-z'
'x,-y,z'
'x+1/2,y+1/2,z'
'-x+1/2,-y+1/2,-z'
'-x+1/2,y+1/2,-z'
'x+1/2,-y+1/2,z'
loop_
_atom_site_label
_atom_site_type_symbol
_atom_site_fract_x
_atom_site_fract_y
_atom_site_fract_z
Ac1 Ac 0.000 0.000 0.000
Ti1 Ti 0.099 0.500 0.215
Ag1 Ag 0.163 0.000 0.392
O1 O 0.000 0.500 0.000
O2 O 0.159 0.248 0.813
O3 O 0.179 0.500 0.395

# PaAlIr PBE optimized geometry
# Raw total energy, eV/atom: -8.153
data_PaAlIr
_chemical_formula_sum 'Pa4 Al4 Ir4'
_space_group_name_H-M_alt 'C m c m'
_space_group_IT_number 63
_space_group_name_Hall '-C 2c 2'
_cell_length_a 4.260
_cell_length_b 9.938
_cell_length_c 5.544
_cell_angle_alpha 90.00
_cell_angle_beta 90.00
_cell_angle_gamma 90.00
loop_
_atom_site_label
_atom_site_type_symbol
_atom_site_fract_x
_atom_site_fract_y
_atom_site_fract_z
Pa1 Pa 0.000 0.201 0.250
Al1 Al 0.000 0.500 0.000
Ir1 Ir 0.000 0.103 0.750

# Li6LaCd12 PBE optimized geometry
# Raw total energy, eV/atom: -1.572
data_Li6LaCd12
_chemical_formula_sum 'Li18 La3 Cd36'
_space_group_name_H-M_alt 'R -3 m'
_space_group_IT_number 166
_space_group_name_Hall '-R 3 2"'
_cell_length_a 12.3304
_cell_length_b 12.3304
_cell_length_c 9.2277
_cell_angle_alpha 90.00
_cell_angle_beta 90.00
_cell_angle_gamma 120.00
loop_
_atom_site_label
_atom_site_type_symbol
_atom_site_fract_x
_atom_site_fract_y
_atom_site_fract_z
Li1 Li 0.0377 0.5189 0.2538
La1 La 0.0000 0.0000 0.0000
Cd1 Cd 0.0000 0.3818 0.5000
Cd2 Cd 0.0841 0.1683 0.3265